A relaxed Rb2BaPuBr6 crystal. Source: Alexandria, functional PBE.

Cell: 8.1791 8.6403 14.2712 Å, 90.00 124.39 90.00°
Last column: nearest neighbours and their distance in Å.
Fractional positions:
Rb  0.2219  0.0731  0.2486  6 Br 3.49-3.73
Rb  0.2219  0.4269  0.7486  6 Br 3.49-3.73
Rb  0.7781  0.5731  0.2514  6 Br 3.49-3.73
Rb  0.7781  0.9269  0.7514  6 Br 3.49-3.73
Ba  0.5000  0.0000  0.0000  6 Br 3.23-3.24
Ba  0.5000  0.5000  0.5000  6 Br 3.23-3.24
Pu  0.0000  0.0000  0.5000  6 Br 3.01-3.03
Pu  0.0000  0.5000  0.0000  6 Br 3.01-3.03
Br  0.1219  0.2086  0.9366  1 Pu 3.03, 1 Ba 3.24
Br  0.1219  0.2914  0.4366  1 Pu 3.03, 1 Ba 3.24
Br  0.2334  0.6925  0.9385  1 Pu 3.01, 1 Ba 3.23
Br  0.2334  0.8075  0.4385  1 Pu 3.01, 1 Ba 3.23
Br  0.3596  0.0452  0.7397  1 Pu 3.02, 1 Ba 3.23
Br  0.3596  0.4548  0.2397  1 Pu 3.02, 1 Ba 3.23
Br  0.6404  0.5452  0.7603  1 Pu 3.02, 1 Ba 3.23
Br  0.6404  0.9548  0.2603  1 Pu 3.02, 1 Ba 3.23
Br  0.7666  0.1925  0.5615  1 Pu 3.01, 1 Ba 3.23
Br  0.7666  0.3075  0.0615  1 Pu 3.01, 1 Ba 3.23
Br  0.8781  0.7086  0.5634  1 Pu 3.03, 1 Ba 3.24
Br  0.8781  0.7914  0.0634  1 Pu 3.03, 1 Ba 3.24

Raw total energy in eV/cell: -91.7
Space group: No. 14
Uncorrected formation energy in meV/atom: -1761.0
DOS at the Fermi energy in states/eV/cell: 37.68